VASP calculation (GGA-PBE) on V3Ru2Pt3 after structural relaxation.

```
V3Ru2Pt3
1.0
-1.9089 1.9676 7.6665
1.9089 -1.9676 7.6665
1.9089 1.9676 -7.6665
V Ru Pt
3 2 3
Direct
0.0000 0.0000 0.0000
0.3634 0.8634 0.5000
0.6366 0.1366 0.5000
0.2535 0.2535 0.0000
0.7465 0.7465 0.0000
0.1216 0.6216 0.5000
0.5000 0.5000 0.0000
0.8784 0.3784 0.5000
```

## Properties
M_tot in μB per formula unit: 1.601
V in Å³ per atom: 14.398
Space-group type: Immm
ΔH_f (0 K) in eV/atom: -0.3920
DOS(E_F) in states/eV/f.u.: 8.0